PBE Nd2ZrNpN4, relaxed; space-group type = No. 10
1.0
5.957 0.000 0.000
0.000 3.462 0.000
-1.946 0.000 5.773
Nd Zr Np N
2 1 1 4
Direct
0.000 0.000 0.000
0.500 0.500 0.000
0.000 0.500 0.500
0.500 0.000 0.500
0.240 0.000 0.712
0.259 0.500 0.287
0.741 0.500 0.713
0.760 0.000 0.288

=====

PBE ScAs3Se, relaxed; polymorph energy (0 for the lowest one) = 0.000 eV per formula unit; space-group type = No. 221
1.0
4.953 0.000 0.000
0.000 4.953 0.000
0.000 0.000 4.953
Sc As Se
1 3 1
Direct
0.000 0.000 0.000
0.000 0.500 0.500
0.500 0.000 0.500
0.500 0.500 0.000
0.500 0.500 0.500

=====

PBE AcDy2PuSb4, relaxed; space-group type = No. 10
1.0
7.806 0.000 0.000
0.000 4.512 0.000
-2.602 0.000 7.363
Ac Dy Pu Sb
1 2 1 4
Direct
0.000 0.000 0.000
0.000 0.500 0.500
0.500 0.000 0.500
0.500 0.500 0.000
0.256 0.000 0.740
0.265 0.500 0.267
0.735 0.500 0.733
0.744 0.000 0.260

=====

PBE CsAsIO6, relaxed; space-group type = No. 149
1.0
5.239 0.000 0.000
-2.620 4.537 0.000
0.000 0.000 6.891
Cs As I O
1 1 1 6
Direct
0.000 0.000 0.000
0.333 0.667 0.500
0.667 0.333 0.500
0.021 0.402 0.661
0.021 0.620 0.339
0.380 0.402 0.339
0.380 0.979 0.661
0.598 0.620 0.661
0.598 0.979 0.339

=====

PBE TmBe6Au6, relaxed; E_form = -3.9 eV per formula unit; space-group type = No. 71
1.0
-2.440 4.267 4.374
2.440 -4.267 4.374
2.440 4.267 -4.374
Tm Be Au
1 6 6
Direct
0.000 0.000 0.000
0.000 0.000 0.500
0.000 0.500 0.000
0.239 0.500 0.739
0.500 0.000 0.000
0.500 0.500 0.500
0.761 0.500 0.261
0.177 0.677 0.500
0.331 0.000 0.331
0.341 0.341 0.000
0.659 0.659 0.000
0.669 0.000 0.669
0.823 0.323 0.500

=====

PBE Na2TlAs2, relaxed; E_form = -1.0 eV per formula unit; polymorph energy (0 for the lowest one) = 0.238 eV per formula unit; space-group type = No. 139
1.0
-2.421 2.421 5.831
2.421 -2.421 5.831
2.421 2.421 -5.831
Na Tl As
2 1 2
Direct
0.250 0.750 0.500
0.750 0.250 0.500
0.000 0.000 0.000
0.400 0.400 0.000
0.600 0.600 0.000

=====

PBE Ca2HgP2, relaxed; E_form = -2.5 eV per formula unit; polymorph energy (0 for the lowest one) = 1.467 eV per formula unit; space-group type = No. 139
1.0
-1.845 1.845 8.656
1.845 -1.845 8.656
1.845 1.845 -8.656
Ca Hg P
2 1 2
Direct
0.119 0.119 0.000
0.881 0.881 0.000
0.500 0.500 0.000
0.250 0.750 0.500
0.750 0.250 0.500

=====

PBE KSb3Te, relaxed; polymorph energy (0 for the lowest one) = 0.000 eV per formula unit; space-group type = No. 221
1.0
5.869 0.000 0.000
0.000 5.869 0.000
0.000 0.000 5.869
K Sb Te
1 3 1
Direct
0.000 0.000 0.000
0.000 0.500 0.500
0.500 0.000 0.500
0.500 0.500 0.000
0.500 0.500 0.500

=====

PBE CeNd2TmSb4, relaxed; space-group type = No. 10
1.0
7.733 0.000 0.000
0.000 4.473 0.000
-2.579 0.000 7.310
Ce Nd Tm Sb
1 2 1 4
Direct
0.000 0.000 0.000
0.000 0.500 0.500
0.500 0.000 0.500
0.500 0.500 0.000
0.252 0.500 0.243
0.257 0.000 0.760
0.743 0.000 0.240
0.748 0.500 0.757

=====

PBE K2YAs2, relaxed; E_form = -2.5 eV per formula unit; polymorph energy (0 for the lowest one) = 0.000 eV per formula unit; space-group type = No. 127
1.0
7.425 0.000 0.000
0.000 7.425 0.000
0.000 0.000 5.617
K Y As
4 2 4
Direct
0.167 0.333 0.000
0.333 0.833 0.000
0.667 0.167 0.000
0.833 0.667 0.000
0.000 0.000 0.500
0.500 0.500 0.500
0.122 0.622 0.500
0.378 0.122 0.500
0.622 0.878 0.500
0.878 0.378 0.500

=====

PBE Ce2Si4GePt3, relaxed; space-group type = No. 115
1.0
4.315 0.000 0.000
0.000 4.315 0.000
0.000 0.000 9.712
Ce Si Ge Pt
2 4 1 3
Direct
0.000 0.500 0.246
0.500 0.000 0.754
0.000 0.000 0.000
0.000 0.500 0.636
0.500 0.000 0.364
0.500 0.500 0.000
0.000 0.000 0.500
0.000 0.500 0.881
0.500 0.000 0.119
0.500 0.500 0.500

=====

PBE Sm2Ho5Er12, relaxed; E_form = 0.4 eV per formula unit; polymorph energy (0 for the lowest one) = 0.000 eV per formula unit; space-group type = No. 2
1.0
6.100 0.000 0.000
-0.016 9.326 0.000
-1.028 -2.022 10.321
Sm Ho Er
2 5 12
Direct
0.079 0.315 0.473
0.921 0.685 0.527
0.238 0.947 0.421
0.342 0.368 0.052
0.500 0.000 0.000
0.658 0.632 0.948
0.762 0.053 0.579
0.026 0.105 0.157
0.132 0.526 0.791
0.184 0.737 0.105
0.290 0.158 0.738
0.395 0.579 0.367
0.447 0.790 0.685
0.553 0.210 0.315
0.605 0.421 0.633
0.710 0.842 0.262
0.816 0.263 0.895
0.868 0.474 0.209
0.974 0.895 0.843

=====

Taking the records one at a time from the top gives energy values of -9.4560, -4.3381, -6.4997, -4.9613, -3.8731, -3.0647, -3.5298, -2.9325, -5.6723, -4.0988, -6.5662, -4.5610 eV per atom.